Record 1
Material: NiIr2Au
Method: DFT, PBE
State: relaxed

Cell lengths 2.7378, 3.7221, 5.7459 Å; angles 90.00, 90.00, 90.00 degrees
Last column: nearest neighbours and their distance in Å.
Space group Pmmm (No. 47)
Inequivalent atoms, fractional coordinates:
Ni (0.0000, 0.0000, 0.0000) x1  8 Ir 2.64, 2 Ni 2.74, 2 Au 2.87
Ir (0.5000, 0.5000, 0.2225) x2  3 Ir 2.56-2.74, 4 Ni 2.64, 4 Au 2.81
Au (0.0000, 0.0000, 0.5000) x1  2 Au 2.74, 8 Ir 2.81, 2 Ni 2.87

E_tot: -25.5 eV/cell
ΔE_f: 0.326 eV/atom

***

Record 2
Material: NiIr4Au
Method: DFT, PBE
State: relaxed

Cell lengths 7.3149, 7.3149, 7.3149 Å; angles 90.00, 90.00, 90.00 degrees
Last column: nearest neighbours and their distance in Å.
Space group F-43m (No. 216)
Inequivalent atoms, fractional coordinates:
Ni (0.0000, 0.0000, 0.0000) x4  12 Ir 3.03, 4 Au 3.17
Ir (0.1253, 0.1253, 0.3747) x16  6 Ir 2.58-2.59
Au (0.2500, 0.2500, 0.7500) x4  12 Ir 3.03, 4 Ni 3.17

E_tot: -161.5 eV/cell
ΔE_f: 0.689 eV/atom

***

Record 3
Material: NiIr2Au
Method: DFT, PBE
State: relaxed

Cell lengths 2.7307, 4.6700, 4.6650 Å; angles 90.00, 90.35, 90.00 degrees
Last column: nearest neighbours and their distance in Å.
Space group P2/m (No. 10)
Inequivalent atoms, fractional coordinates:
Ni (0.0000, 0.0000, 0.0000) x1  4 Ir 2.67, 4 Au 2.70-2.71, 2 Ni 2.73
Ir (0.2438, 0.5000, 0.7615) x2  6 Ir 2.60-2.82, 2 Ni 2.67, 2 Au 2.73
Au (0.5000, 0.0000, 0.5000) x1  4 Ni 2.70-2.71, 4 Ir 2.73, 2 Au 2.73

E_tot: -25.4 eV/cell
ΔE_f: 0.345 eV/atom

***

Record 4
Material: NiIr2Au
Method: DFT, PBE
State: relaxed

Cell lengths 7.1255, 7.1255, 5.0132 Å; angles 90.00, 90.00, 90.00 degrees
Last column: nearest neighbours and their distance in Å.
Space group I-42d (No. 122)
Inequivalent atoms, fractional coordinates:
Ni (0.0000, 0.0000, 0.0000) x4  4 Ir 2.39, 2 Au 2.51
Ir (0.2056, 0.2500, 0.1250) x8  2 Ni 2.39, 2 Ir 2.59
Au (0.0000, 0.0000, 0.5000) x4  2 Ni 2.51

E_tot: -96.2 eV/cell
ΔE_f: 0.683 eV/atom

***

Record 5
Material: NiIrAu2
Method: DFT, PBE
State: relaxed

Cell lengths 2.8148, 2.8148, 27.0971 Å; angles 90.00, 90.00, 120.00 degrees
Last column: nearest neighbours and their distance in Å.
Space group R-3m (No. 166, hexagonal axes)
Inequivalent atoms, fractional coordinates:
Ni (0.0000, 0.0000, 0.0000) x3  6 Au 2.68, 6 Ni 2.81
Ir (0.0000, 0.0000, 0.5000) x3  6 Ir 2.81, 6 Au 2.88
Au (0.0000, 0.0000, 0.2546) x6  3 Ni 2.68, 6 Au 2.81, 3 Ir 2.88

E_tot: -60.1 eV/cell
ΔE_f: 0.289 eV/atom

***

Record 6
Material: NiIrAu2
Method: DFT, PBE
State: relaxed

Cell lengths 6.3056, 6.3056, 6.3056 Å; angles 90.00, 90.00, 90.00 degrees
Last column: nearest neighbours and their distance in Å.
Space group Fm-3m (No. 225)
Inequivalent atoms, fractional coordinates:
Ni (0.0000, 0.0000, 0.0000) x4  8 Au 2.73
Ir (0.0000, 0.0000, 0.5000) x4  8 Au 2.73
Au (0.2500, 0.2500, 0.2500) x8  4 Ni 2.73, 4 Ir 2.73

E_tot: -78.1 eV/cell
ΔE_f: 0.417 eV/atom

***

Record 7
Material: Ni6IrAu
Method: DFT, PBE
State: relaxed

Cell lengths 7.3241, 10.3673, 10.3961 Å; angles 90.00, 90.00, 90.00 degrees
Last column: nearest neighbours and their distance in Å.
Space group Cmmm (No. 65)
Inequivalent atoms, fractional coordinates:
Ni (0.0000, 0.0000, 0.0000) x2  8 Ni 2.56, 4 Ir 2.61
Ni (0.0000, 0.0000, 0.5000) x2  8 Ni 2.57, 2 Ir 2.59, 2 Au 2.63
Ni (0.0000, 0.2459, 0.2443) x8  8 Ni 2.52-2.66, 2 Ir 2.54-2.55, 2 Au 2.63-2.66
Ni (0.0000, 0.5000, 0.0000) x2  2 Ir 2.57, 2 Au 2.59, 8 Ni 2.61
Ni (0.0000, 0.5000, 0.5000) x2  4 Au 2.55-2.61, 8 Ni 2.63
Ni (0.2442, 0.1234, 0.3716) x16  1 Ir 2.53, 8 Ni 2.56-2.67, 3 Au 2.60-2.63
Ni (0.2448, 0.1270, 0.1218) x16  8 Ni 2.52-2.63, 3 Ir 2.55-2.60, 1 Au 2.64
Ir (0.0000, 0.0000, 0.2510) x4  12 Ni 2.53-2.61
Ir (0.0000, 0.2521, 0.0000) x4  12 Ni 2.54-2.61
Au (0.0000, 0.2539, 0.5000) x4  12 Ni 2.55-2.66
Au (0.0000, 0.5000, 0.2487) x4  12 Ni 2.59-2.64

E_tot: -370.9 eV/cell
ΔE_f: 0.057 eV/atom

***

Record 8
Material: NiIr2Au
Method: DFT, PBE
State: relaxed

Cell lengths 3.8845, 3.8845, 7.6881 Å; angles 90.00, 90.00, 90.00 degrees
Last column: nearest neighbours and their distance in Å.
Space group I-4m2 (No. 119)
Inequivalent atoms, fractional coordinates:
Ni (0.0000, 0.0000, 0.0000) x2  8 Ir 2.73-2.75, 4 Au 2.73
Ir (0.0000, 0.0000, 0.5000) x2  4 Ir 2.73, 4 Au 2.73, 4 Ni 2.75
Ir (0.0000, 0.5000, 0.2500) x2  4 Ni 2.73, 4 Ir 2.73, 4 Au 2.75
Au (0.0000, 0.5000, 0.7500) x2  4 Ni 2.73, 8 Ir 2.73-2.75

E_tot: -51.4 eV/cell
ΔE_f: 0.272 eV/atom